# 1
DFT (GGA-PBE) results for crystalline LiY2Cl at its relaxed geometry.

As for the offset from the most stable computed form: 159 kJ/mol of formula units. For the uncorrected formation energy, the calculation gives -0.227 eV/atom.

The space group is I-4m2 (No. 119) and the conventional cell measures 4.1324, 4.1324 and 11.9198 Å, with angles of 90.00, 90.00 and 90.00 degrees. The inequivalent atoms are Li at (0.0000, 0.0000, 0.0000), Y at (0.0000, 0.0000, 0.5000), Y at (0.0000, 0.5000, 0.7500) and Cl at (0.0000, 0.5000, 0.2500).

# 2
DFT (GGA-PBE) results for crystalline ZnCr2In at its relaxed geometry.

The formation energy is 0.289 eV per atom.

The space group is I-4m2 (No. 119) and the conventional cell measures 4.1498, 4.1498 and 7.5577 Å, with angles of 90.00, 90.00 and 90.00 degrees. The inequivalent atoms are Zn at (0.0000, 0.0000, 0.0000), Cr at (0.0000, 0.0000, 0.5000), Cr at (0.0000, 0.5000, 0.7500) and In at (0.0000, 0.5000, 0.2500).

# 3
DFT (GGA-PBE) results for crystalline Pr5Sm4Ho4 at its relaxed geometry.

The formation energy is 0.019 eV per atom.

The space group is I4/m (No. 87) and the conventional cell measures 13.1159, 13.1159 and 5.1146 Å, with angles of 90.00, 90.00 and 90.00 degrees. The inequivalent atoms are Pr at (0.0000, 0.0000, 0.0000), Pr at (0.0378, 0.1959, 0.5000), Sm at (0.1547, 0.7671, 0.0000) and Ho at (0.0751, 0.3872, 0.0000).

# 4
DFT (GGA-PBE) results for crystalline Sm3ScHg5 at its relaxed geometry.

The formation energy is -0.430 eV per atom.

The space group is P6_3/mcm (No. 193) and the conventional cell measures 9.1672, 9.1672 and 6.4390 Å, with angles of 90.00, 90.00 and 120.00 degrees. The inequivalent atoms are Sm at (0.0000, 0.3696, 0.2500), Sc at (0.0000, 0.0000, 0.0000), Hg at (0.0000, 0.2890, 0.7500) and Hg at (0.3333, 0.6667, 0.0000).

# 5
DFT (GGA-PBE) results for crystalline DyThAg at its relaxed geometry.

The formation energy is 0.015 eV per atom. As for the offset from the most stable computed form: 33 kJ/mol of formula units.

The space group is I4/mmm (No. 139) and the conventional cell measures 3.6827, 3.6827 and 25.7804 Å, with angles of 90.00, 90.00 and 90.00 degrees. The inequivalent atoms are Dy at (0.0000, 0.0000, 0.1101), Th at (0.0000, 0.0000, 0.2963) and Ag at (0.0000, 0.0000, 0.4482).

# 6
DFT (GGA-PBE) results for crystalline Ho2Er3 at its relaxed geometry.

The formation energy is 0.000 eV per atom.

The space group is C2/c (No. 15) and the conventional cell measures 11.6901, 6.2028 and 9.0672 Å, with angles of 90.00, 109.97 and 90.00 degrees. The inequivalent atoms are Ho at (0.0998, 0.1666, 0.4499), Er at (0.0000, 0.3339, 0.7500) and Er at (0.2003, 0.3339, 0.1501).

# 7
DFT (GGA-PBE) results for crystalline MnGe2Cl at its relaxed geometry.

As for the offset from the most stable computed form: 0 kJ/mol of formula units. For the uncorrected formation energy, the calculation gives 0.405 eV/atom.

The space group is I-42d (No. 122) and the conventional cell measures 5.3779, 5.3779 and 14.1285 Å, with angles of 90.00, 90.00 and 90.00 degrees. The inequivalent atoms are Mn at (0.0000, 0.0000, 0.0000), Ge at (0.1496, 0.2500, 0.1250) and Cl at (0.0000, 0.0000, 0.5000).

# 8
DFT (GGA-PBE) results for crystalline La2TcSb at its relaxed geometry.

For the uncorrected formation energy, the calculation gives -0.142 eV/atom.

The space group is I-4m2 (No. 119) and the conventional cell measures 4.5559, 4.5559 and 10.0492 Å, with angles of 90.00, 90.00 and 90.00 degrees. The inequivalent atoms are La at (0.0000, 0.0000, 0.0000), La at (0.0000, 0.5000, 0.2500), Tc at (0.0000, 0.0000, 0.5000) and Sb at (0.0000, 0.5000, 0.7500).

Total magnetic moment values (in μB/f.u.) by entry order: 0.00; 0.03; 0.00; 0.00; 0.00; 0.00; 2.32; 1.84.